Density functional theory data (PBE) for a geometry-optimized LaPr2SmHo4 structure.

Summary:
- mass density (Mg/m³) = 7.71
- magnetization (μB per formula unit) = 0.0
- calculated formation energy (meV per atom) = 0

Cell lengths 7.2486, 7.2522, 11.6358 Å; angles 90.02, 90.01, 119.97 degrees
Last column: nearest neighbours and their distance in Å.
Space group P-1 (No. 2)
Asymmetric unit:
La1 0.0000 0.0000 0.0000 [1 per cell]  6 Ho 3.59, 2 Pr 3.62, 2 Sm 3.63, 2 La 3.63
La2 0.5000 0.5000 0.0000 [1 per cell]  6 Ho 3.58-3.59, 2 Sm 3.62, 2 Pr 3.63, 2 La 3.63
Pr1 0.0000 0.0000 0.5000 [1 per cell]  6 Ho 3.58, 4 Pr 3.62-3.63, 2 Sm 3.63
Pr2 0.0000 0.5000 0.5000 [1 per cell]  6 Ho 3.58, 2 Sm 3.62, 4 Pr 3.63
Pr3 0.5000 0.0000 0.0000 [1 per cell]  6 Ho 3.59, 4 La 3.62-3.63, 2 Sm 3.63
Pr4 0.5000 0.0000 0.5000 [1 per cell]  6 Ho 3.58, 4 Pr 3.62-3.63, 2 Sm 3.63
Sm1 0.0000 0.5000 0.0000 [1 per cell]  6 Ho 3.59, 4 La 3.62-3.63, 2 Pr 3.63
Sm2 0.5000 0.5000 0.5000 [1 per cell]  6 Ho 3.58, 6 Pr 3.62-3.63
Ho1 0.1660 0.8331 0.7493 [2 per cell]  4 Pr 3.58-3.59, 1 La 3.59, 1 Sm 3.59, 6 Ho 3.62-3.63
Ho2 0.1666 0.3330 0.7497 [2 per cell]  2 Pr 3.58, 2 Sm 3.58-3.59, 2 La 3.59, 6 Ho 3.62-3.63
Ho3 0.3336 0.1674 0.2502 [2 per cell]  1 Sm 3.58, 3 Pr 3.58-3.59, 2 La 3.58-3.59, 6 Ho 3.62-3.63
Ho4 0.3340 0.6666 0.2504 [2 per cell]  2 Sm 3.58-3.59, 3 Pr 3.58-3.59, 1 La 3.58, 6 Ho 3.62-3.63